28
Lattice="5.4755 0.0000 0.0000 0.0000 9.6805 0.0000 -5.1061 0.0000 7.1520" Properties=species:S:1:pos:R:3 comment="Na3ErV2O8 PBEsol optimized geometry" vol_a3_per_cell=379 raw_formation_energy_kj_per_mol_fu=-3437 pbc="T T T"
Na 0.0000 0.0000 0.0000
Na -2.5531 4.8402 3.5760
Na -2.4019 1.3744 5.6559
Na 0.1512 3.4659 2.0800
Na 0.2181 6.2146 5.0720
Na 2.7712 8.3061 1.4960
Er 0.1847 0.0000 3.5760
Er 2.7377 4.8402 0.0000
V -0.0074 6.6042 1.5968
V -2.5605 7.9165 5.1727
V 2.9298 1.7640 1.9792
V 0.3768 3.0763 5.5552
O -1.6369 1.2652 3.3528
O -4.1900 3.5751 6.9288
O -2.7954 6.2091 5.4315
O -0.2424 8.3116 1.8555
O -0.6094 5.7862 2.9193
O -3.1625 8.7345 6.4953
O 1.6632 6.1681 1.4135
O -0.8898 8.3526 4.9895
O 1.2592 1.3278 2.1625
O -1.2939 3.5124 5.7384
O 3.5318 0.9460 0.6567
O 0.9788 3.8942 4.2326
O 0.6117 1.3688 5.2965
O 3.1648 3.4714 1.7205
O 4.5593 6.1054 0.2232
O 2.0062 8.4153 3.7992

20
Lattice="6.8376 0.0000 0.0000 0.1976 7.0144 0.0000 0.3151 0.4029 8.9502" Properties=species:S:1:pos:R:3 comment="NaErP2S6 PBEsol optimized geometry" vol_a3_per_cell=429 raw_formation_energy_kj_per_mol_fu=-902 pbc="T T T"
Na 0.3193 0.8068 2.0241
Na 7.0310 6.6105 6.9261
Er 3.4777 4.4375 2.2196
Er 3.8726 2.9798 6.7306
P 1.3016 3.9856 4.7425
P 3.4352 6.6176 8.3616
P 3.9151 0.7998 0.5886
P 6.0486 3.4317 4.2077
S 1.3583 4.0227 6.7648
S 1.5716 5.5886 0.5615
S 1.6841 5.7338 3.8341
S 2.5114 2.5073 4.0302
S 2.5067 2.2834 0.5414
S 2.7858 0.4285 6.5824
S 4.5644 6.9888 2.3678
S 4.8435 5.1339 8.4088
S 4.8389 4.9100 4.9200
S 5.6661 1.6835 5.1161
S 5.7787 1.8288 8.3887
S 5.9920 3.3946 2.1854